Er4TmTl: optimized geometry, PBE.

abc: 8.568 13.944 6.376
angles: 90.00 108.51 90.00
Space group C2/c (No. 15)
Unique sites:
Er: 0.096 0.191 0.039 x8
Er: 0.213 0.373 0.381 x8
Tm: 0.000 0.410 0.750 x4
Tl: 0.000 0.000 0.250 x4

Values from the calculation:
DOS at the Fermi energy: 27.63 states/eV/cell
total magnetization: 0.000 μB/atom
electronic total energy: -4.1900 eV per atom
distance to the lowest polymorph of the same formula: 94 meV/atom
energy of formation: -0.0085 eV per atom

=====

Dy3ThH8: optimized geometry, PBE.

abc: 5.256 5.256 5.256
angles: 90.00 90.00 90.00
Space group Pm-3m (No. 221)
Unique sites:
Dy: 0.000 0.000 0.500 x3
Th: 0.500 0.500 0.500 x1
H: 0.243 0.243 0.243 x8

Values from the calculation:
DOS at the Fermi energy: 3.21 states/eV/cell
total magnetization: 0.000 μB/atom
electronic total energy: -4.6600 eV per atom

=====

MnFeBP2: optimized geometry, PBE.

abc: 2.934 2.981 6.527
angles: 90.00 90.00 90.00
Space group Pmm2 (No. 25)
Unique sites:
Mn: 0.000 0.000 0.000 x1
Fe: 0.500 0.000 0.379 x1
B: 0.000 0.500 0.478 x1
P: 0.000 0.000 0.662 x1
P: 0.500 0.500 0.118 x1

Values from the calculation:
DOS at the Fermi energy: 2.12 states/eV/cell
total magnetization: 0.095 μB/atom
electronic total energy: -7.2035 eV per atom
distance to the lowest polymorph of the same formula: 87 meV/atom
energy of formation: -0.1776 eV per atom